(1)
Entry from the Alexandria database: crystalline GePb5Se6 at its relaxed geometry (PBE).

Energy relative to the elements, uncorrected, eV per atom: -0.491
Calculated total energy, eV/atom: -4.163
M_tot, Bohr magnetons per cell: 0.000

Cell: 7.514 12.991 7.500 Å, 90.00 109.45 90.00°
Space group C2/m (No. 12)
Asymmetric unit:
Ge 0.000 0.000 0.000 (multiplicity 2)
Pb 0.000 0.168 0.500 (multiplicity 4)
Pb 0.000 0.333 0.000 (multiplicity 4)
Pb 0.000 0.500 0.500 (multiplicity 2)
Se 0.236 0.000 0.755 (multiplicity 4)
Se 0.238 0.158 0.238 (multiplicity 8)

(2)
Entry from the Alexandria database: crystalline GePb2Se3 at its relaxed geometry (PBE).

Energy relative to the elements, uncorrected, eV per atom: -0.419
Calculated total energy, eV/atom: -4.167
M_tot, Bohr magnetons per cell: 0.000

Cell: 4.240 6.054 12.883 Å, 90.00 90.00 90.00°
Space group Immm (No. 71)
Asymmetric unit:
Ge 0.000 0.000 0.000 (multiplicity 2)
Pb 0.000 0.000 0.331 (multiplicity 4)
Se 0.000 0.500 0.000 (multiplicity 2)
Se 0.000 0.500 0.350 (multiplicity 4)

(3)
Entry from the Alexandria database: crystalline GePb4Se6 at its relaxed geometry (PBE).

Energy relative to the elements, uncorrected, eV per atom: -0.427
Calculated total energy, eV/atom: -4.096
M_tot, Bohr magnetons per cell: 0.000

Cell: 16.131 7.753 13.962 Å, 90.00 119.87 90.00°
Space group Cc (No. 9)
Asymmetric unit:
Ge 0.000 0.229 0.000 (multiplicity 4)
Pb 0.076 0.136 0.776 (multiplicity 4)
Pb 0.216 0.394 0.263 (multiplicity 4)
Pb 0.271 0.072 0.583 (multiplicity 4)
Pb 0.454 0.181 0.910 (multiplicity 4)
Se 0.121 0.198 0.377 (multiplicity 4)
Se 0.165 0.252 0.043 (multiplicity 4)
Se 0.246 0.232 0.753 (multiplicity 4)
Se 0.405 0.222 0.306 (multiplicity 4)
Se 0.442 0.476 0.044 (multiplicity 4)
Se 0.490 0.035 0.604 (multiplicity 4)

(4)
Entry from the Alexandria database: crystalline GePb2Se5 at its relaxed geometry (PBE).

Energy relative to the elements, uncorrected, eV per atom: -0.223
Calculated total energy, eV/atom: -3.905
M_tot, Bohr magnetons per cell: 0.000

Cell: 6.103 7.351 7.438 Å, 104.48 102.38 110.41°
Space group P1 (No. 1)
Asymmetric unit:
Ge 0.000 0.000 0.000 (multiplicity 1)
Pb 0.280 0.109 0.632 (multiplicity 1)
Pb 0.324 0.669 0.232 (multiplicity 1)
Se 0.367 0.759 0.639 (multiplicity 1)
Se 0.419 0.260 0.087 (multiplicity 1)
Se 0.869 0.273 0.045 (multiplicity 1)
Se 0.871 0.783 0.662 (multiplicity 1)
Se 0.919 0.811 0.210 (multiplicity 1)

(5)
Entry from the Alexandria database: crystalline GePbSe2 at its relaxed geometry (PBE).

Energy relative to the elements, uncorrected, eV per atom: -0.141
Calculated total energy, eV/atom: -3.965
M_tot, Bohr magnetons per cell: 0.000

Cell: 3.7108 3.7108 27.2558 Å, 90.00 90.00 120.00°
Space group R-3m (No. 166, hexagonal axes)
Asymmetric unit:
Ge 0.0000 0.0000 0.0000 (multiplicity 3)
Pb 0.0000 0.0000 0.5000 (multiplicity 3)
Se 0.0000 0.0000 0.3890 (multiplicity 6)

(6)
Entry from the Alexandria database: crystalline Ge2Pb2Se at its relaxed geometry (PBE).

Energy relative to the elements, uncorrected, eV per atom: -0.008
Calculated total energy, eV/atom: -4.035
M_tot, Bohr magnetons per cell: 0.000
Energy above the most stable polymorph in this dataset, meV per atom: 0

Cell: 3.828 3.828 17.715 Å, 90.00 90.00 90.00°
Space group I4/mmm (No. 139)
Asymmetric unit:
Ge 0.000 0.500 0.250 (multiplicity 4)
Pb 0.000 0.000 0.100 (multiplicity 4)
Se 0.000 0.000 0.500 (multiplicity 2)

(7)
Entry from the Alexandria database: crystalline Ge2Pb2Se at its relaxed geometry (PBE).

Energy relative to the elements, uncorrected, eV per atom: 0.142
Calculated total energy, eV/atom: -3.885
M_tot, Bohr magnetons per cell: 0.000
Energy above the most stable polymorph in this dataset, meV per atom: 149

Cell: 7.649 7.649 4.411 Å, 90.00 90.00 90.00°
Space group P4/mbm (No. 127)
Asymmetric unit:
Ge 0.124 0.376 0.000 (multiplicity 4)
Pb 0.187 0.687 0.500 (multiplicity 4)
Se 0.000 0.000 0.000 (multiplicity 2)

(8)
Entry from the Alexandria database: crystalline Sm4GePbSe2 at its relaxed geometry (PBE).

Energy relative to the elements, uncorrected, eV per atom: -1.266
Calculated total energy, eV/atom: -5.537
M_tot, Bohr magnetons per cell: 0.000

Cell: 7.456 4.260 7.486 Å, 90.00 109.16 90.00°
Space group P2/m (No. 10)
Asymmetric unit:
Sm 0.245 0.000 0.237 (multiplicity 2)
Sm 0.255 0.500 0.762 (multiplicity 2)
Ge 0.500 0.000 0.000 (multiplicity 1)
Pb 0.500 0.500 0.500 (multiplicity 1)
Se 0.000 0.000 0.500 (multiplicity 1)
Se 0.000 0.500 0.000 (multiplicity 1)

(9)
Entry from the Alexandria database: crystalline Sm6Ge2PbSe3 at its relaxed geometry (PBE).

Energy relative to the elements, uncorrected, eV per atom: -1.314
Calculated total energy, eV/atom: -5.623
M_tot, Bohr magnetons per cell: 0.000

Cell: 18.652 4.250 8.607 Å, 90.00 103.39 90.00°
Space group C2/m (No. 12)
Asymmetric unit:
Sm 0.003 0.000 0.263 (multiplicity 4)
Sm 0.170 0.500 0.577 (multiplicity 4)
Sm 0.171 0.500 0.096 (multiplicity 4)
Ge 0.167 0.000 0.334 (multiplicity 4)
Pb 0.000 0.500 0.000 (multiplicity 2)
Se 0.000 0.500 0.500 (multiplicity 2)
Se 0.166 0.000 0.832 (multiplicity 4)

(10)
Entry from the Alexandria database: crystalline SnGePb2Se4 at its relaxed geometry (PBE).

Energy relative to the elements, uncorrected, eV per atom: -0.424
Calculated total energy, eV/atom: -4.170
M_tot, Bohr magnetons per cell: 0.000

Cell: 7.387 4.265 7.417 Å, 90.00 109.37 90.00°
Space group P2/m (No. 10)
Asymmetric unit:
Sn 0.000 0.000 0.000 (multiplicity 1)
Ge 0.500 0.500 0.000 (multiplicity 1)
Pb 0.000 0.500 0.500 (multiplicity 1)
Pb 0.500 0.000 0.500 (multiplicity 1)
Se 0.253 0.500 0.236 (multiplicity 2)
Se 0.265 0.000 0.770 (multiplicity 2)

(11)
Entry from the Alexandria database: crystalline SnGePb2Se5 at its relaxed geometry (PBE).

Energy relative to the elements, uncorrected, eV per atom: -0.416
Calculated total energy, eV/atom: -4.133
M_tot, Bohr magnetons per cell: 0.000

Cell: 4.135 18.833 13.057 Å, 90.00 90.00 90.00°
Space group Cmc2_1 (No. 36)
Asymmetric unit:
Sn 0.000 0.197 0.000 (multiplicity 4)
Ge 0.000 0.449 0.368 (multiplicity 4)
Pb 0.000 0.120 0.302 (multiplicity 4)
Pb 0.000 0.137 0.644 (multiplicity 4)
Se 0.000 0.018 0.967 (multiplicity 4)
Se 0.000 0.294 0.654 (multiplicity 4)
Se 0.000 0.326 0.324 (multiplicity 4)
Se 0.000 0.342 0.975 (multiplicity 4)
Se 0.000 0.485 0.714 (multiplicity 4)

(12)
Entry from the Alexandria database: crystalline SnGe2PbSe at its relaxed geometry (PBE).

Energy relative to the elements, uncorrected, eV per atom: 0.939
Calculated total energy, eV/atom: -3.147
M_tot, Bohr magnetons per cell: 0.000

Cell: 5.343 5.343 6.069 Å, 90.00 90.00 90.00°
Space group P4/mmm (No. 123)
Asymmetric unit:
Sn 0.000 0.000 0.000 (multiplicity 1)
Ge 0.000 0.500 0.500 (multiplicity 2)
Pb 0.000 0.000 0.500 (multiplicity 1)
Se 0.500 0.500 0.000 (multiplicity 1)

(13)
Entry from the Alexandria database: crystalline SnGe2Pb3Se6 at its relaxed geometry (PBE).

Energy relative to the elements, uncorrected, eV per atom: -0.405
Calculated total energy, eV/atom: -4.178
M_tot, Bohr magnetons per cell: 0.000

Cell: 18.559 4.238 8.530 Å, 90.00 103.71 90.00°
Space group C2/m (No. 12)
Asymmetric unit:
Sn 0.000 0.000 0.000 (multiplicity 2)
Ge 0.170 0.500 0.342 (multiplicity 4)
Pb 0.000 0.000 0.500 (multiplicity 2)
Pb 0.166 0.500 0.837 (multiplicity 4)
Se 0.008 0.500 0.249 (multiplicity 4)
Se 0.167 0.000 0.098 (multiplicity 4)
Se 0.173 0.000 0.567 (multiplicity 4)

(14)
Entry from the Alexandria database: crystalline SnGePbSe3 at its relaxed geometry (PBE).

Energy relative to the elements, uncorrected, eV per atom: -0.346
Calculated total energy, eV/atom: -4.143
M_tot, Bohr magnetons per cell: 0.000

Cell: 8.772 4.218 10.584 Å, 90.00 100.39 90.00°
Space group P2_1/m (No. 11)
Asymmetric unit:
Sn 0.152 0.250 0.137 (multiplicity 2)
Ge 0.359 0.750 0.399 (multiplicity 2)
Pb 0.347 0.750 0.839 (multiplicity 2)
Se 0.093 0.250 0.875 (multiplicity 2)
Se 0.346 0.250 0.556 (multiplicity 2)
Se 0.396 0.750 0.116 (multiplicity 2)

(15)
Entry from the Alexandria database: crystalline SrGePbSe4 at its relaxed geometry (PBE).

Energy relative to the elements, uncorrected, eV per atom: -0.832
Calculated total energy, eV/atom: -4.253
M_tot, Bohr magnetons per cell: 0.000

Cell: 7.209 7.009 8.459 Å, 90.00 107.65 90.00°
Space group P2_1/m (No. 11)
Asymmetric unit:
Sr 0.245 0.250 0.063 (multiplicity 2)
Ge 0.235 0.750 0.800 (multiplicity 2)
Pb 0.230 0.250 0.561 (multiplicity 2)
Se 0.004 0.007 0.739 (multiplicity 4)
Se 0.403 0.750 0.088 (multiplicity 2)
Se 0.413 0.750 0.609 (multiplicity 2)

(16)
Entry from the Alexandria database: crystalline Sr2GePbSe5 at its relaxed geometry (PBE).

Energy relative to the elements, uncorrected, eV per atom: -1.109
Calculated total energy, eV/atom: -4.344
M_tot, Bohr magnetons per cell: 0.000

Cell: 4.174 19.206 13.096 Å, 90.00 90.00 90.00°
Space group Cmc2_1 (No. 36)
Asymmetric unit:
Sr 0.000 0.122 0.000 (multiplicity 4)
Sr 0.000 0.124 0.656 (multiplicity 4)
Ge 0.000 0.446 0.731 (multiplicity 4)
Pb 0.000 0.204 0.363 (multiplicity 4)
Se 0.000 0.022 0.331 (multiplicity 4)
Se 0.000 0.289 0.022 (multiplicity 4)
Se 0.000 0.328 0.679 (multiplicity 4)
Se 0.000 0.351 0.330 (multiplicity 4)
Se 0.000 0.493 0.074 (multiplicity 4)

(17)
Entry from the Alexandria database: crystalline Tb4GePbSe2 at its relaxed geometry (PBE).

Energy relative to the elements, uncorrected, eV per atom: -1.243
Calculated total energy, eV/atom: -5.470
M_tot, Bohr magnetons per cell: 0.000

Cell: 7.333 4.182 7.375 Å, 90.00 109.14 90.00°
Space group P2/m (No. 10)
Asymmetric unit:
Tb 0.243 0.000 0.237 (multiplicity 2)
Tb 0.254 0.500 0.764 (multiplicity 2)
Ge 0.000 0.500 0.000 (multiplicity 1)
Pb 0.000 0.000 0.500 (multiplicity 1)
Se 0.500 0.000 0.000 (multiplicity 1)
Se 0.500 0.500 0.500 (multiplicity 1)

(18)
Entry from the Alexandria database: crystalline Tb6Ge2PbSe3 at its relaxed geometry (PBE).

Energy relative to the elements, uncorrected, eV per atom: -1.298
Calculated total energy, eV/atom: -5.563
M_tot, Bohr magnetons per cell: 0.000

Cell: 18.339 4.173 8.469 Å, 90.00 103.33 90.00°
Space group C2/m (No. 12)
Asymmetric unit:
Tb 0.004 0.000 0.263 (multiplicity 4)
Tb 0.171 0.500 0.098 (multiplicity 4)
Tb 0.171 0.500 0.576 (multiplicity 4)
Ge 0.167 0.000 0.335 (multiplicity 4)
Pb 0.000 0.500 0.000 (multiplicity 2)
Se 0.000 0.500 0.500 (multiplicity 2)
Se 0.166 0.000 0.832 (multiplicity 4)

(19)
Entry from the Alexandria database: crystalline GeTePbSe at its relaxed geometry (PBE).

Energy relative to the elements, uncorrected, eV per atom: -0.171
Calculated total energy, eV/atom: -3.909
M_tot, Bohr magnetons per cell: 0.000

Cell: 5.1669 5.1669 38.9379 Å, 90.00 90.00 120.00°
Space group R-3m (No. 166, hexagonal axes)
Asymmetric unit:
Ge 0.0000 0.0000 0.1341 (multiplicity 6)
Te 0.0000 0.0000 0.2054 (multiplicity 6)
Pb 0.0000 0.0000 0.2980 (multiplicity 6)
Se 0.0000 0.0000 0.3728 (multiplicity 6)

(20)
Entry from the Alexandria database: crystalline Th6Ge3PbSe2 at its relaxed geometry (PBE).

Energy relative to the elements, uncorrected, eV per atom: -0.976
Calculated total energy, eV/atom: -6.730
M_tot, Bohr magnetons per cell: 0.000

Cell: 18.888 4.328 8.675 Å, 90.00 103.50 90.00°
Space group C2/m (No. 12)
Asymmetric unit:
Th 0.001 0.000 0.234 (multiplicity 4)
Th 0.163 0.500 0.089 (multiplicity 4)
Th 0.173 0.500 0.577 (multiplicity 4)
Ge 0.000 0.500 0.000 (multiplicity 2)
Ge 0.166 0.000 0.330 (multiplicity 4)
Pb 0.000 0.500 0.500 (multiplicity 2)
Se 0.168 0.000 0.835 (multiplicity 4)

(21)
Entry from the Alexandria database: crystalline Th4GePb2Se at its relaxed geometry (PBE).

Energy relative to the elements, uncorrected, eV per atom: -0.708
Calculated total energy, eV/atom: -6.358
M_tot, Bohr magnetons per cell: 0.000

Cell: 7.621 4.432 7.706 Å, 90.00 109.48 90.00°
Space group P2/m (No. 10)
Asymmetric unit:
Th 0.238 0.000 0.229 (multiplicity 2)
Th 0.252 0.500 0.770 (multiplicity 2)
Ge 0.000 0.500 0.000 (multiplicity 1)
Pb 0.000 0.000 0.500 (multiplicity 1)
Pb 0.500 0.500 0.500 (multiplicity 1)
Se 0.500 0.000 0.000 (multiplicity 1)